Density functional theory data (GGA-PBE) for CuGe3Se after structural relaxation.

Output
Total moment = 0.000 μB per cell
Raw total energy = -16.57 eV for the cell shown
V = 136.04 Å³ per cell

extended XYZ file:
```
5
Lattice="5.143 0.000 0.000 0.000 5.143 0.000 0.000 0.000 5.143" Properties=species:S:1:pos:R:3 pbc="T T T"
Cu 0.000 0.000 0.000
Ge 0.000 2.572 2.572
Ge 2.572 0.000 2.572
Ge 2.572 2.572 0.000
Se 2.572 2.572 2.572
```